Entry 1:
NbCuGe: relaxed, PBE-GGA.

As for the total magnetization: 0.000 μB per atom. The calculation puts the energy of formation at -0.156 eV per atom. For the density of states at the Fermi level, the calculation gives 2.4 states/eV/cell.

The structure belongs to space group P-1 (No. 2); the cell edges are 2.875, 5.248 and 6.843 Å and the angles 70.21°, 78.02° and 74.20°. The asymmetric unit holds Nb at (0.079, 0.173, 0.164), Cu at (0.374, 0.236, 0.520) and Ge at (0.334, 0.631, 0.200).

Entry 2:
Nb3CuGe: relaxed, PBE-GGA.

As for the total magnetization: 0.000 μB per atom. The calculation puts the energy of formation at 0.953 eV per atom. The energy above the most stable polymorph in this dataset comes out at 0.00 eV/f.u. For the density of states at the Fermi level, the calculation gives 1.5 states/eV/cell.

The structure belongs to space group Pm-3m (No. 221); the cell edges are 4.634, 4.634 and 4.634 Å and the angles 90.00°, 90.00° and 90.00°. The asymmetric unit holds Nb at (0.000, 0.000, 0.500), Cu at (0.000, 0.000, 0.000) and Ge at (0.500, 0.500, 0.500).

Entry 3:
NbCu3Ge: relaxed, PBE-GGA.

As for the total magnetization: 0.000 μB per atom. The calculation puts the energy of formation at 0.795 eV per atom. The energy above the most stable polymorph in this dataset comes out at 0.00 eV/f.u. For the density of states at the Fermi level, the calculation gives 4.3 states/eV/cell.

The structure belongs to space group Pm-3m (No. 221); the cell edges are 4.366, 4.366 and 4.366 Å and the angles 90.00°, 90.00° and 90.00°. The asymmetric unit holds Nb at (0.000, 0.000, 0.000), Cu at (0.000, 0.500, 0.500) and Ge at (0.500, 0.500, 0.500).

Entry 4:
NbCuGe: relaxed, PBE-GGA.

As for the total magnetization: 0.000 μB per atom. The calculation puts the energy of formation at -0.302 eV per atom. For the density of states at the Fermi level, the calculation gives 3.2 states/eV/cell.

The structure belongs to space group I4/mmm (No. 139); the cell edges are 3.673, 3.673 and 13.459 Å and the angles 90.00°, 90.00° and 90.00°. The asymmetric unit holds Nb at (0.000, 0.000, 0.176), Cu at (0.000, 0.500, 0.000) and Ge at (0.000, 0.000, 0.373).

Entry 5:
Nb2Cu2Ge: relaxed, PBE-GGA.

As for the total magnetization: 0.000 μB per atom. The calculation puts the energy of formation at 0.050 eV per atom. For the density of states at the Fermi level, the calculation gives 9.6 states/eV/cell.

The structure belongs to space group P4/mbm (No. 127); the cell edges are 6.221, 6.221 and 3.977 Å and the angles 90.00°, 90.00° and 90.00°. The asymmetric unit holds Nb at (0.168, 0.332, 0.000), Cu at (0.134, 0.634, 0.500) and Ge at (0.000, 0.000, 0.500).

Entry 6:
NbCuGe: relaxed, PBE-GGA.

As for the total magnetization: 0.000 μB per atom. The calculation puts the energy of formation at 0.167 eV per atom. For the density of states at the Fermi level, the calculation gives 3.9 states/eV/cell.

The structure belongs to space group I4mm (No. 107); the cell edges are 3.497, 3.497 and 7.846 Å and the angles 90.00°, 90.00° and 90.00°. The asymmetric unit holds Nb at (0.000, 0.000, 0.000), Cu at (0.000, 0.000, 0.336) and Ge at (0.000, 0.000, 0.663).